Record 1
Material: Nd2Pd5Pt5
Method: DFT, PBE
State: relaxed

Properties
ρ, g cm⁻³: 13.27
Crystal system: orthorhombic
Magnetization, μB/cell: 0.0
ΔE to the lowest computed polymorph, eV/atom: 0.0335
Formation energy, meV per atom: -609

abc: 4.4570 5.4034 9.3320
angles: 90.00 90.00 90.00
Fractional positions:
Nd (0.0000, 0.0000, 0.0000)
Nd (0.0000, 0.5000, 0.5000)
Pd (0.5000, 0.0000, 0.5000)
Pd (0.5000, 0.2493, 0.2496)
Pd (0.5000, 0.2493, 0.7504)
Pd (0.5000, 0.7507, 0.2496)
Pd (0.5000, 0.7507, 0.7504)
Pt (0.0000, 0.0000, 0.3344)
Pt (0.0000, 0.0000, 0.6656)
Pt (0.0000, 0.5000, 0.1646)
Pt (0.0000, 0.5000, 0.8354)
Pt (0.5000, 0.5000, 0.0000)

---

Record 2
Material: Nd2Pd3Pt3
Method: DFT, PBE
State: relaxed

Properties
ρ, g cm⁻³: 13.36
Crystal system: orthorhombic
Magnetization, μB/cell: 0.0
Formation energy, meV per atom: -817

abc: 4.1967 4.2385 8.3389
angles: 90.00 90.00 90.00
Fractional positions:
Nd (0.0000, 0.0000, 0.2500)
Nd (0.0000, 0.0000, 0.7500)
Pd (0.0000, 0.5000, 0.0000)
Pd (0.5000, 0.0000, 0.0000)
Pd (0.5000, 0.0000, 0.5000)
Pt (0.0000, 0.5000, 0.5000)
Pt (0.5000, 0.5000, 0.2506)
Pt (0.5000, 0.5000, 0.7494)

---

Record 3
Material: Nd6Pd2Pt
Method: DFT, PBE
State: relaxed

Properties
ρ, g cm⁻³: 7.84
Crystal system: monoclinic
Magnetization, μB/cell: 0.0
Formation energy, meV per atom: -567

abc: 6.7725 7.5333 12.2272
angles: 90.00 120.09 90.00
Fractional positions:
Nd (0.0896, 0.1870, 0.4286)
Nd (0.0896, 0.3130, 0.9286)
Nd (0.2535, 0.6696, 0.4257)
Nd (0.2535, 0.8304, 0.9257)
Nd (0.4018, 0.0441, 0.2417)
Nd (0.4018, 0.4559, 0.7417)
Nd (0.5982, 0.5441, 0.2583)
Nd (0.5982, 0.9559, 0.7583)
Nd (0.7465, 0.1696, 0.0743)
Nd (0.7465, 0.3304, 0.5743)
Nd (0.9104, 0.6870, 0.0714)
Nd (0.9104, 0.8130, 0.5714)
Pd (0.1688, 0.1166, 0.7309)
Pd (0.1688, 0.3834, 0.2309)
Pd (0.8312, 0.6166, 0.7691)
Pd (0.8312, 0.8834, 0.2691)
Pt (0.5000, 0.0000, 0.5000)
Pt (0.5000, 0.5000, 0.0000)

---

Record 4
Material: Nd2Pd3Pt2
Method: DFT, PBE
State: relaxed

Properties
ρ, g cm⁻³: 11.16
Crystal system: monoclinic
Magnetization, μB/cell: 0.0
ΔE to the lowest computed polymorph, eV/atom: 0.0000
Formation energy, meV per atom: -656

abc: 5.3320 5.3320 8.3648
angles: 116.21 116.21 45.32
Fractional positions:
Nd (0.1979, 0.1979, 0.2671)
Nd (0.8021, 0.8021, 0.7329)
Pd (0.4835, 0.4835, 0.6524)
Pd (0.5000, 0.5000, 0.0000)
Pd (0.5165, 0.5165, 0.3476)
Pt (0.1558, 0.1558, 0.8963)
Pt (0.8442, 0.8442, 0.1037)

---

Record 5
Material: Nd8PdPt2
Method: DFT, PBE
State: relaxed

Properties
ρ, g cm⁻³: 8.15
Crystal system: monoclinic
Magnetization, μB/cell: 0.0
ΔE to the lowest computed polymorph, eV/atom: 0.0925
Formation energy, meV per atom: -453

abc: 7.7646 7.7646 6.3703
angles: 100.39 100.39 112.23
Fractional positions:
Nd (0.0000, 0.0000, 0.0000)
Nd (0.0205, 0.2837, 0.5772)
Nd (0.1559, 0.5787, 0.1926)
Nd (0.2837, 0.0205, 0.5772)
Nd (0.4447, 0.7099, 0.8144)
Nd (0.5787, 0.1559, 0.1926)
Nd (0.7099, 0.4447, 0.8144)
Nd (0.7209, 0.7209, 0.3758)
Pd (0.3507, 0.3507, 0.9926)
Pt (0.0469, 0.6778, 0.6844)
Pt (0.6778, 0.0469, 0.6844)

---

Record 6
Material: NdPdPt
Method: DFT, PBE
State: relaxed

Properties
ρ, g cm⁻³: 12.44
Crystal system: orthorhombic
Magnetization, μB/cell: 0.0
ΔE to the lowest computed polymorph, eV/atom: 0.0000
Formation energy, meV per atom: -915

abc: 5.5221 5.5221 5.5221
angles: 120.25 119.81 89.95
Fractional positions:
Nd (0.3760, 0.1260, 0.2500)
Nd (0.6240, 0.8740, 0.7500)
Pd (0.0000, 0.0000, 0.5000)
Pd (0.0000, 0.5000, 0.0000)
Pt (0.0000, 0.5000, 0.5000)
Pt (0.5000, 0.5000, 0.0000)